Below is a geometry-optimized LiPmPrPt structure, with properties calculated at the PBE level.

abc: 7.288 7.288 7.288
angles: 90.00 90.00 90.00
Element x y z (fractional)
Li 0.000 0.000 0.000
Li 0.000 0.500 0.500
Li 0.500 0.000 0.500
Li 0.500 0.500 0.000
Pm 0.250 0.250 0.750
Pm 0.250 0.750 0.250
Pm 0.750 0.250 0.250
Pm 0.750 0.750 0.750
Pr 0.250 0.250 0.250
Pr 0.250 0.750 0.750
Pr 0.750 0.250 0.750
Pr 0.750 0.750 0.250
Pt 0.000 0.000 0.500
Pt 0.000 0.500 0.000
Pt 0.500 0.000 0.000
Pt 0.500 0.500 0.500

Computed properties:
DFT total energy ... -4.89 eV per atom

=====

Below is a geometry-optimized Y3CdIn structure, with properties calculated at the PBE level.

abc: 10.728 10.728 5.190
angles: 90.00 90.00 151.98
Element x y z (fractional)
Y 0.061 0.939 0.750
Y 0.250 0.750 0.750
Y 0.439 0.561 0.750
Y 0.561 0.439 0.250
Y 0.750 0.250 0.250
Y 0.939 0.061 0.250
Cd 0.155 0.845 0.250
Cd 0.845 0.155 0.750
In 0.343 0.657 0.250
In 0.657 0.343 0.750

Computed properties:
Polymorph energy (0 for the lowest one) ... 0.0000 eV per atom

=====

Below is a geometry-optimized Cr2RuW structure, with properties calculated at the PBE level.

abc: 4.248 4.248 2.995
angles: 90.00 90.00 90.00
Element x y z (fractional)
Cr 0.000 0.500 0.000
Cr 0.500 0.000 0.000
Ru 0.000 0.000 0.500
W 0.500 0.500 0.500

Computed properties:
Polymorph energy (0 for the lowest one) ... 0.0502 eV per atom

=====

Below is a geometry-optimized ZnCoRu3 structure, with properties calculated at the PBE level.

abc: 4.402 4.402 4.402
angles: 90.00 90.00 90.00
Element x y z (fractional)
Zn 0.000 0.000 0.000
Co 0.500 0.500 0.500
Ru 0.000 0.500 0.500
Ru 0.500 0.000 0.500
Ru 0.500 0.500 0.000

Computed properties:
Polymorph energy (0 for the lowest one) ... 0.0000 eV per atom

=====

Below is a geometry-optimized HgHO2 structure, with properties calculated at the PBE level.

abc: 5.518 5.518 5.518
angles: 90.00 90.00 90.00
Element x y z (fractional)
Hg 0.000 0.000 0.000
Hg 0.000 0.500 0.500
Hg 0.500 0.000 0.500
Hg 0.500 0.500 0.000
H 0.000 0.000 0.500
H 0.000 0.500 0.000
H 0.500 0.000 0.000
H 0.500 0.500 0.500
O 0.250 0.250 0.250
O 0.250 0.250 0.750
O 0.250 0.750 0.250
O 0.250 0.750 0.750
O 0.750 0.250 0.250
O 0.750 0.250 0.750
O 0.750 0.750 0.250
O 0.750 0.750 0.750

Computed properties:
Polymorph energy (0 for the lowest one) ... 1.1562 eV per atom

=====

Below is a geometry-optimized LaTiSO2 structure, with properties calculated at the PBE level.

abc: 4.005 4.005 5.314
angles: 90.00 90.00 90.00
Element x y z (fractional)
La 0.000 0.000 0.000
Ti 0.500 0.500 0.329
S 0.500 0.500 0.791
O 0.000 0.500 0.273
O 0.500 0.000 0.273

Computed properties:
Raw formation energy ... -13.54 eV/f.u.

=====

| no. | theoretical density (Mg/m³) | magnetic moment (μB per formula unit) |
| --- | --- | --- |
| 1 | 8.37 | 0.000 |
| 2 | 5.85 | 0.082 |
| 3 | 11.95 | 1.574 |
| 4 | 8.32 | 2.513 |
| 5 | 9.24 | 1.038 |
| 6 | 4.89 | 0.976 |